# 1
The following is a DFT calculation (GGA-PBE) of a relaxed CrGeS3 crystal. Values from VASP.

Properties
- total moment (μB per atom) = 0.4890
- uncorrected formation energy (eV per atom) = 0.12

Structure (Quantum ESPRESSO input):
```
&SYSTEM
  ibrav = 0, nat = 5, ntyp = 3
/
ATOMIC_SPECIES
S 32.06 S.upf
Ge 72.64 Ge.upf
Cr 52.00 Cr.upf
CELL_PARAMETERS angstrom
-4.151 0.708 1.791
1.615 -1.038 4.153
1.049 4.400 0.692
ATOMIC_POSITIONS angstrom
S 0.807 -0.519 2.077
S 0.525 2.200 0.346
Ge -0.743 2.035 3.318
Cr 0.000 0.000 0.000
S -2.075 0.354 0.895
```

=====

# 2
The following is a DFT calculation (GGA-PBE) of a relaxed Tm2Al6Cu9 crystal. Values from VASP.

Properties
- E_tot (eV for the cell shown) = -71.465
- total moment (μB per atom) = 0.0000

Structure (Quantum ESPRESSO input):
```
&SYSTEM
  ibrav = 0, nat = 17, ntyp = 3
/
ATOMIC_SPECIES
Cu 63.55 Cu.upf
Tm 168.93 Tm.upf
Al 26.98 Al.upf
CELL_PARAMETERS angstrom
-0.236 -5.179 0.206
1.658 2.687 4.117
-11.328 0.680 4.119
ATOMIC_POSITIONS angstrom
Cu -4.953 -0.906 4.221
Tm -7.587 0.455 2.759
Cu -1.086 1.458 2.755
Al -2.776 0.293 4.196
Cu -8.583 1.908 5.481
Cu -2.033 -2.475 0.799
Al -7.129 -2.105 4.246
Cu -1.204 -1.131 2.858
Cu -5.782 -2.250 2.162
Tm -3.741 0.225 1.360
Cu -8.701 -0.681 5.584
Al 0.395 -2.557 1.509
Al -6.497 0.517 5.549
Cu -9.531 -2.025 3.526
Al -3.408 -2.329 2.892
Al 1.027 0.065 2.813
Cu -4.835 1.683 4.118
```

=====

# 3
The following is a DFT calculation (GGA-PBE) of a relaxed TaNb2Mo6W3 crystal. Values from VASP.

Properties
- E_tot (eV for the cell shown) = -137.398
- total moment (μB per atom) = 0.0000

Structure (Quantum ESPRESSO input):
```
&SYSTEM
  ibrav = 0, nat = 12, ntyp = 4
/
ATOMIC_SPECIES
Mo 95.94 Mo.upf
W 183.84 W.upf
Nb 92.91 Nb.upf
Ta 180.95 Ta.upf
CELL_PARAMETERS angstrom
-1.803 5.780 -4.984
-5.091 -2.104 5.582
3.818 1.228 2.104
ATOMIC_POSITIONS angstrom
Mo -0.221 2.542 -1.086
W -1.538 2.452 1.351
W -0.440 5.085 -2.177
Mo -4.215 3.063 0.974
Mo -1.759 4.992 0.264
Nb -2.899 3.154 -1.464
W -2.636 -0.181 4.880
Mo -1.318 -0.088 2.438
Nb -3.996 0.523 2.062
Mo 1.139 1.841 1.728
Mo -2.855 2.362 3.788
Ta 0.000 0.000 0.000
```

=====

# 4
The following is a DFT calculation (GGA-PBE) of a relaxed AcPt2Pb4 crystal. Values from VASP.

Properties
- E_tot (eV for the cell shown) = -33.492
- total moment (μB per atom) = 0.0000

Structure (Quantum ESPRESSO input):
```
&SYSTEM
  ibrav = 0, nat = 7, ntyp = 3
/
ATOMIC_SPECIES
Pt 195.08 Pt.upf
Pb 207.20 Pb.upf
Ac 227.00 Ac.upf
CELL_PARAMETERS angstrom
4.418 0.000 0.000
0.000 4.624 0.000
0.000 -2.312 9.546
ATOMIC_POSITIONS angstrom
Pt 2.209 2.312 1.311
Pb 0.000 2.312 3.408
Pt 2.209 0.000 8.235
Pb 2.209 2.312 6.449
Pb 2.209 0.000 3.097
Pb 0.000 0.000 6.138
Ac 0.000 0.000 0.000
```

=====

# 5
The following is a DFT calculation (GGA-PBE) of a relaxed CsPb2C2O6 crystal. Values from VASP.

Properties
- total moment (μB per atom) = 0.0167
- uncorrected formation energy (eV per atom) = -1.29

Structure (Quantum ESPRESSO input):
```
&SYSTEM
  ibrav = 0, nat = 11, ntyp = 4
/
ATOMIC_SPECIES
O 16.00 O.upf
Cs 132.91 Cs.upf
Pb 207.20 Pb.upf
C 12.01 C.upf
CELL_PARAMETERS angstrom
7.906 1.941 -0.007
5.289 5.946 0.063
-0.774 -2.697 5.633
ATOMIC_POSITIONS angstrom
O 1.876 0.663 0.426
Cs 3.566 -0.378 2.813
Pb 7.021 1.992 4.260
O 10.545 4.528 5.263
O 4.656 1.732 4.757
C 8.691 2.519 1.076
Pb 5.400 3.199 1.430
O 7.765 3.458 0.932
C 3.731 2.672 4.613
O 11.862 5.575 3.741
O 0.559 -0.384 1.949
```